*i*
NaCa3Ni: optimized geometry, PBE.

Computed properties:
Density of states at the Fermi level, states/eV per cell: 5.325
Space group: Pm-3m
Mass density, Mg/m³: 1.81

The structure in POSCAR format:
```
NaCa3Ni
1.0
5.7019 0.0000 0.0000
0.0000 5.7019 0.0000
0.0000 0.0000 5.7019
Na Ca Ni
1 3 1
Cartesian
0.0000 0.0000 0.0000 Na
0.0000 0.0000 2.8509 Ca
0.0000 2.8509 0.0000 Ca
2.8509 0.0000 0.0000 Ca
2.8509 2.8509 2.8509 Ni
```

***

*ii*
NaCa3Ni: optimized geometry, PBE.

Computed properties:
Density of states at the Fermi level, states/eV per cell: 2.492
Space group: Pm-3m
Mass density, Mg/m³: 1.96

The structure in POSCAR format:
```
NaCa3Ni
1.0
5.5524 0.0000 0.0000
0.0000 5.5524 0.0000
0.0000 0.0000 5.5524
Na Ca Ni
1 3 1
Cartesian
0.0000 0.0000 0.0000 Na
0.0000 2.7762 2.7762 Ca
2.7762 0.0000 2.7762 Ca
2.7762 2.7762 0.0000 Ca
2.7762 2.7762 2.7762 Ni
```

***

*iii*
NaCa3Ni: optimized geometry, PBE.

Computed properties:
Density of states at the Fermi level, states/eV per cell: 7.326
Space group: C2/m
Mass density, Mg/m³: 2.01

The structure in POSCAR format:
```
NaCa3Ni
1.0
5.2940 -3.2148 0.0000
5.2940 3.2148 0.0000
-1.3729 0.0000 9.8125
Na Ca Ni
2 6 2
Cartesian
1.8803 0.0000 0.4646 Na
7.3348 0.0000 9.3479 Na
-0.0509 0.0000 6.7677 Ca
2.0926 0.0000 4.0039 Ca
3.7159 0.0000 7.5156 Ca
5.4991 0.0000 2.2969 Ca
7.1224 0.0000 5.8086 Ca
9.2659 0.0000 3.0447 Ca
4.6075 1.1707 4.9062 Ni
4.6075 -1.1707 4.9062 Ni
```

***

Quick one: most stable of them? *ii*

***

*i*
NaSr2CaNi: optimized geometry, PBE.

Computed properties:
Density of states at the Fermi level, states/eV per cell: 3.420
Space group: P4/mmm
Mass density, Mg/m³: 2.53

The structure in POSCAR format:
```
NaSr2CaNi
1.0
5.7879 0.0000 0.0000
0.0000 5.7879 0.0000
0.0000 0.0000 5.8110
Na Sr Ca Ni
1 2 1 1
Cartesian
0.0000 0.0000 0.0000 Na
0.0000 2.8940 2.9055 Sr
2.8940 0.0000 2.9055 Sr
2.8940 2.8940 0.0000 Ca
0.0000 0.0000 2.9055 Ni
```

***

*ii*
NaSr2CaNi: optimized geometry, PBE.

Computed properties:
Density of states at the Fermi level, states/eV per cell: 2.523
Space group: P4/mmm
Mass density, Mg/m³: 2.54

The structure in POSCAR format:
```
NaSr2CaNi
1.0
5.8989 0.0000 0.0000
0.0000 5.8989 0.0000
0.0000 0.0000 5.5816
Na Sr Ca Ni
1 2 1 1
Cartesian
0.0000 0.0000 0.0000 Na
0.0000 2.9495 2.7908 Sr
2.9495 0.0000 2.7908 Sr
2.9495 2.9495 0.0000 Ca
2.9495 2.9495 2.7908 Ni
```

***

Quick one: most stable of them? *ii*

***

*i*
NaCaP2O: optimized geometry, PBE.

Computed properties:
Density of states at the Fermi level, states/eV per cell: 5.637
Space group: P4/mmm
Mass density, Mg/m³: 1.79

The structure in POSCAR format:
```
NaCaP2O
1.0
5.4705 0.0000 0.0000
0.0000 5.4705 0.0000
0.0000 0.0000 4.3669
Na Ca P O
1 1 2 1
Cartesian
0.0000 0.0000 0.0000 Na
2.7353 2.7353 2.1834 Ca
0.0000 2.7353 2.1834 P
2.7353 0.0000 2.1834 P
2.7353 2.7353 0.0000 O
```

***

*ii*
NaCaP2O: optimized geometry, PBE.

Computed properties:
Density of states at the Fermi level, states/eV per cell: 3.625
Space group: P4/mmm
Mass density, Mg/m³: 2.27

The structure in POSCAR format:
```
NaCaP2O
1.0
4.9327 0.0000 0.0000
0.0000 4.9327 0.0000
0.0000 0.0000 4.2397
Na Ca P O
1 1 2 1
Cartesian
0.0000 0.0000 0.0000 Na
2.4664 2.4664 2.1198 Ca
0.0000 2.4664 0.0000 P
2.4664 0.0000 0.0000 P
0.0000 0.0000 2.1198 O
```

***

Quick one: most stable of them? *i*

***

*i*
Na2CaP2O7: optimized geometry, PBE.

Computed properties:
Density of states at the Fermi level, states/eV per cell: 0.000
Space group: P-1
Mass density, Mg/m³: 2.62

The structure in POSCAR format:
```
Na2CaP2O7
1.0
5.4616 0.0000 0.0000
0.1161 7.2108 0.0000
0.1436 3.2167 8.3719
Na Ca P O
4 2 4 14
Cartesian
1.2745 1.5086 0.0968 Na
1.5084 2.4276 3.7108 Na
4.2129 7.9999 4.6612 Na
4.4468 8.9190 8.2751 Na
1.5665 6.3239 2.3569 Ca
4.1549 4.1036 6.0150 Ca
1.3319 6.3489 5.7733 P
1.6202 9.0330 6.9206 P
4.1011 1.3945 1.4514 P
4.3894 4.0786 2.5986 P
0.4031 2.3286 5.9738 O
0.4266 4.3322 2.7932 O
1.4222 9.4881 8.3717 O
1.4374 7.4083 7.0346 O
1.9874 7.0181 4.5579 O
2.0788 5.1242 6.3003 O
2.6766 1.1472 1.9629 O
3.0448 9.2803 6.4090 O
3.6426 5.3033 2.0716 O
3.7339 3.4095 3.8140 O
4.2839 3.0193 1.3374 O
4.2991 0.9394 0.0003 O
5.2948 6.0953 5.5787 O
5.3183 8.0990 2.3981 O
```

***

*ii*
Na2CaP2O7: optimized geometry, PBE.

Computed properties:
Density of states at the Fermi level, states/eV per cell: 0.000
Space group: R32
Mass density, Mg/m³: 2.36

The structure in POSCAR format:
```
Na2CaP2O7
1.0
2.7575 1.5920 6.9574
-2.7575 1.5920 6.9574
0.0000 -3.1841 6.9574
Na Ca P O
2 1 2 7
Cartesian
0.0000 0.0000 5.0201 Na
0.0000 0.0000 15.8520 Na
0.0000 0.0000 0.0000 Ca
0.0000 0.0000 8.8245 P
0.0000 0.0000 12.0477 P
-0.5132 -1.3859 8.4195 O
-0.9436 -1.1374 12.4527 O
-0.9436 1.1374 8.4195 O
0.0000 0.0000 10.4361 O
-0.5132 1.3859 12.4527 O
1.4568 0.2485 8.4195 O
1.4568 -0.2485 12.4527 O
```

***

Quick one: most stable of them? *i*